# 1
The following is a DFT calculation (GGA-PBE) of a relaxed Mn3VZn crystal.

**Calculated formation energy**: 4.83 eV per formula unit
**SG**: Pm-3m, No. 221
**Energy above the lowest structure with this stoichiometry**: 0.0000 eV per atom
**Crystal system**: cubic
**Total magnetic moment**: 7.1 μB/f.u.

```
Mn3VZn
1.0
4.381 0.000 0.000
0.000 4.381 0.000
0.000 0.000 4.381
Mn V Zn
3 1 1
direct
0.000 0.000 0.500
0.000 0.500 0.000
0.500 0.000 0.000
0.000 0.000 0.000
0.500 0.500 0.500
```


# 2
The following is a DFT calculation (GGA-PBE) of a relaxed Sm4NiI5 crystal.

**E_form (uncorrected)**: -1.076 eV/atom
**SG**: C2/m, No. 12
**Crystal system**: monoclinic
**Total magnetic moment**: 0.0 μB/f.u.

```
Sm4NiI5
1.0
9.795 -2.073 0.000
9.795 2.073 0.000
-1.996 0.000 8.808
Sm Ni I
4 1 5
direct
0.000 0.000 0.202
0.000 0.000 0.798
0.357 0.357 0.925
0.643 0.643 0.075
0.500 0.500 0.000
0.167 0.167 0.347
0.176 0.176 0.826
0.500 0.500 0.500
0.824 0.824 0.174
0.833 0.833 0.653
```


# 3
The following is a DFT calculation (GGA-PBE) of a relaxed NpAu2I8 crystal.

**E_form (uncorrected)**: -0.339 eV/atom
**SG**: C2/m, No. 12
**Crystal system**: monoclinic
**Total magnetic moment**: 2.2 μB/f.u.

```
NpAu2I8
1.0
5.896 -6.308 0.000
5.896 6.308 0.000
-0.052 0.000 6.682
Np Au I
1 2 8
direct
0.000 0.000 0.000
0.257 0.257 0.225
0.743 0.743 0.775
0.054 0.696 0.797
0.180 0.180 0.706
0.304 0.946 0.203
0.484 0.484 0.252
0.516 0.516 0.748
0.696 0.054 0.797
0.820 0.820 0.294
0.946 0.304 0.203
```


# 4
The following is a DFT calculation (GGA-PBE) of a relaxed NaAlTeBr2 crystal.

**E_form (uncorrected)**: 0.023 eV/atom
**SG**: P4/mmm, No. 123
**Crystal system**: tetragonal
**Total magnetic moment**: 0.0 μB/f.u.

```
NaAlTeBr2
1.0
5.979 0.000 0.000
0.000 5.979 0.000
0.000 0.000 5.672
Na Al Te Br
1 1 1 2
direct
0.000 0.000 0.000
0.500 0.500 0.000
0.000 0.000 0.500
0.000 0.500 0.500
0.500 0.000 0.500
```


# 5
The following is a DFT calculation (GGA-PBE) of a relaxed Ho2IrAu2 crystal.

**Calculated formation energy**: -3.45 eV per formula unit
**SG**: Ibam, No. 72
**Crystal system**: orthorhombic
**Total magnetic moment**: 0.0 μB/f.u.

```
Ho2IrAu2
1.0
-3.125 6.334 2.987
3.125 -6.334 2.987
3.125 6.334 -2.987
Ho Ir Au
4 2 4
direct
0.145 0.245 0.390
0.355 0.745 0.100
0.645 0.255 0.900
0.855 0.755 0.610
0.250 0.750 0.500
0.750 0.250 0.500
0.124 0.778 0.903
0.376 0.278 0.654
0.624 0.722 0.346
0.876 0.222 0.097
```


# 6
The following is a DFT calculation (GGA-PBE) of a relaxed Mn2CoCl crystal.

**E_form (uncorrected)**: 0.437 eV/atom
**SG**: Cmmm, No. 65
**Energy above the lowest structure with this stoichiometry**: 0.4181 eV per atom
**Crystal system**: orthorhombic
**Total magnetic moment**: 9.0 μB/f.u.

```
Mn2CoCl
1.0
2.798 -3.506 0.000
2.798 3.506 0.000
0.000 0.000 2.891
Mn Co Cl
2 1 1
direct
0.000 0.500 0.000
0.500 0.000 0.000
0.000 0.000 0.500
0.500 0.500 0.500
```


# 7
The following is a DFT calculation (GGA-PBE) of a relaxed Er7FeI12 crystal.

**E_form (uncorrected)**: -1.147 eV/atom
**SG**: R-3, No. 148
**Crystal system**: trigonal
**Total magnetic moment**: 1.1 μB/f.u.

```
Er7FeI12
1.0
7.791 4.498 3.610
-7.791 4.498 3.610
0.000 -8.996 3.610
Er Fe I
7 1 12
direct
0.000 0.000 0.000
0.214 0.479 0.409
0.409 0.214 0.479
0.479 0.409 0.214
0.521 0.591 0.786
0.591 0.786 0.521
0.786 0.521 0.591
0.500 0.500 0.500
0.038 0.114 0.339
0.114 0.339 0.038
0.178 0.571 0.724
0.276 0.822 0.429
0.339 0.038 0.114
0.429 0.276 0.822
0.571 0.724 0.178
0.661 0.962 0.886
0.724 0.178 0.571
0.822 0.429 0.276
0.886 0.661 0.962
0.962 0.886 0.661
```


# 8
The following is a DFT calculation (GGA-PBE) of a relaxed Be2HSe crystal.

**SG**: I-42d, No. 122
**Energy above the lowest structure with this stoichiometry**: 0.3499 eV per atom
**Crystal system**: tetragonal
**Total magnetic moment**: 0.0 μB/f.u.

```
Be2HSe
1.0
-2.032 2.032 5.634
2.032 -2.032 5.634
2.032 2.032 -5.634
Be H Se
4 2 2
direct
0.030 0.625 0.905
0.375 0.280 0.405
0.720 0.125 0.095
0.875 0.970 0.595
0.000 0.000 0.000
0.750 0.250 0.500
0.250 0.750 0.500
0.500 0.500 0.000
```


# 9
The following is a DFT calculation (GGA-PBE) of a relaxed MgFe2Ir2 crystal.

**Calculated formation energy**: -0.07 eV per formula unit
**SG**: P4/mbm, No. 127
**Energy above the lowest structure with this stoichiometry**: 0.0000 eV per atom
**Crystal system**: tetragonal
**Total magnetic moment**: 4.5 μB/f.u.

```
MgFe2Ir2
1.0
7.280 0.000 0.000
0.000 7.280 0.000
0.000 0.000 2.717
Mg Fe Ir
2 4 4
direct
0.000 0.000 0.000
0.500 0.500 0.000
0.116 0.384 0.000
0.384 0.884 0.000
0.616 0.116 0.000
0.884 0.616 0.000
0.177 0.677 0.500
0.323 0.177 0.500
0.677 0.823 0.500
0.823 0.323 0.500
```


# 10
The following is a DFT calculation (GGA-PBE) of a relaxed CeErPu2Sb4 crystal.

**E_form (uncorrected)**: -0.817 eV/atom
**SG**: P2/m, No. 10
**Crystal system**: monoclinic
**Total magnetic moment**: 0.5 μB/f.u.

```
CeErPu2Sb4
1.0
7.646 0.000 0.000
0.000 4.434 0.000
-2.569 0.000 7.251
Ce Er Pu Sb
1 1 2 4
direct
0.000 0.000 0.000
0.000 0.500 0.500
0.500 0.000 0.500
0.500 0.500 0.000
0.248 0.000 0.746
0.249 0.500 0.254
0.751 0.500 0.746
0.752 0.000 0.254
```


# 11
The following is a DFT calculation (GGA-PBE) of a relaxed Cs2MgBeP crystal.

**Calculated formation energy**: 4.29 eV per formula unit
**SG**: P4/mmm, No. 123
**Crystal system**: tetragonal
**Total magnetic moment**: 0.9 μB/f.u.

```
Cs2MgBeP
1.0
6.774 0.000 0.000
0.000 6.774 0.000
0.000 0.000 4.875
Cs Mg Be P
2 1 1 1
direct
0.000 0.500 0.000
0.500 0.000 0.000
0.000 0.000 0.000
0.000 0.000 0.500
0.500 0.500 0.500
```


# 12
The following is a DFT calculation (GGA-PBE) of a relaxed Ho6In2Pt crystal.

**Calculated formation energy**: -3.20 eV per formula unit
**SG**: Immm, No. 71
**Energy above the lowest structure with this stoichiometry**: 0.1755 eV per atom
**Crystal system**: orthorhombic
**Total magnetic moment**: 0.0 μB/f.u.

```
Ho6In2Pt
1.0
-2.527 3.607 7.499
2.527 -3.607 7.499
2.527 3.607 -7.499
Ho In Pt
6 2 1
direct
0.082 0.343 0.739
0.228 0.000 0.228
0.396 0.657 0.739
0.604 0.343 0.261
0.772 0.000 0.772
0.918 0.657 0.261
0.333 0.833 0.500
0.667 0.167 0.500
0.000 0.500 0.500
```


# 13
The following is a DFT calculation (GGA-PBE) of a relaxed Mg2TiGa crystal.

**Calculated formation energy**: 0.97 eV per formula unit
**SG**: R-3m, No. 166
**Crystal system**: trigonal
**Total magnetic moment**: 0.0 μB/f.u.

```
Mg2TiGa
1.0
1.483 0.856 10.401
-1.483 0.856 10.401
0.000 -1.713 10.401
Mg Ti Ga
2 1 1
direct
0.092 0.092 0.092
0.908 0.908 0.908
0.000 0.000 0.000
0.500 0.500 0.500
```


# 14
The following is a DFT calculation (GGA-PBE) of a relaxed Ta2Ag2P crystal.

**Calculated formation energy**: 3.58 eV per formula unit
**SG**: P4/mbm, No. 127
**Energy above the lowest structure with this stoichiometry**: 0.0000 eV per atom
**Crystal system**: tetragonal
**Total magnetic moment**: 0.0 μB/f.u.

```
Ta2Ag2P
1.0
6.288 0.000 0.000
0.000 6.288 0.000
0.000 0.000 4.510
Ta Ag P
4 4 2
direct
0.157 0.343 0.000
0.343 0.843 0.000
0.657 0.157 0.000
0.843 0.657 0.000
0.146 0.646 0.500
0.354 0.146 0.500
0.646 0.854 0.500
0.854 0.354 0.500
0.000 0.000 0.500
0.500 0.500 0.500
```


# 15
The following is a DFT calculation (GGA-PBE) of a relaxed ZnCdBr2 crystal.

**E_form (uncorrected)**: -0.293 eV/atom
**SG**: Immm, No. 71
**Energy above the lowest structure with this stoichiometry**: 0.1973 eV per atom
**Crystal system**: orthorhombic
**Total magnetic moment**: 0.0 μB/f.u.

```
ZnCdBr2
1.0
-1.929 3.474 5.243
1.929 -3.474 5.243
1.929 3.474 -5.243
Zn Cd Br
1 1 2
direct
0.000 0.000 0.000
0.500 0.500 0.000
0.320 0.820 0.500
0.680 0.180 0.500
```


# 16
The following is a DFT calculation (GGA-PBE) of a relaxed SrMgSb2 crystal.

**E_form (uncorrected)**: -0.502 eV/atom
**SG**: P4/mmm, No. 123
**Crystal system**: tetragonal
**Total magnetic moment**: 0.0 μB/f.u.

```
SrMgSb2
1.0
5.027 0.000 0.000
0.000 5.027 0.000
0.000 0.000 4.479
Sr Mg Sb
1 1 2
direct
0.000 0.000 0.000
0.500 0.500 0.000
0.000 0.500 0.500
0.500 0.000 0.500
```


# 17
The following is a DFT calculation (GGA-PBE) of a relaxed Os4W crystal.

**Calculated formation energy**: 0.42 eV per formula unit
**SG**: I4/m, No. 87
**Energy above the lowest structure with this stoichiometry**: 0.0000 eV per atom
**Crystal system**: tetragonal
**Total magnetic moment**: 0.0 μB/f.u.

```
Os4W
1.0
-3.083 3.083 1.935
3.083 -3.083 1.935
3.083 3.083 -1.935
Os W
4 1
direct
0.099 0.306 0.405
0.306 0.901 0.206
0.694 0.099 0.794
0.901 0.694 0.595
0.500 0.500 0.000
```


# 18
The following is a DFT calculation (GGA-PBE) of a relaxed Sm2ScGa3Pd4 crystal.

**Calculated formation energy**: -8.12 eV per formula unit
**SG**: P-4m2, No. 115
**Crystal system**: tetragonal
**Total magnetic moment**: 0.0 μB/f.u.

```
Sm2ScGa3Pd4
1.0
4.148 0.000 0.000
0.000 4.148 0.000
0.000 0.000 11.460
Sm Sc Ga Pd
2 1 3 4
direct
0.000 0.500 0.236
0.500 0.000 0.764
0.000 0.000 0.500
0.000 0.500 0.871
0.500 0.000 0.129
0.500 0.500 0.500
0.000 0.000 0.000
0.000 0.500 0.651
0.500 0.000 0.349
0.500 0.500 0.000
```


# 19
The following is a DFT calculation (GGA-PBE) of a relaxed ReSiBr3 crystal.

**E_form (uncorrected)**: 0.946 eV/atom
**SG**: Pm-3m, No. 221
**Energy above the lowest structure with this stoichiometry**: 0.0000 eV per atom
**Crystal system**: cubic
**Total magnetic moment**: 3.7 μB/f.u.

```
ReSiBr3
1.0
5.121 0.000 0.000
0.000 5.121 0.000
0.000 0.000 5.121
Re Si Br
1 1 3
direct
0.000 0.000 0.000
0.500 0.500 0.500
0.000 0.000 0.500
0.000 0.500 0.000
0.500 0.000 0.000
```


# 20
The following is a DFT calculation (GGA-PBE) of a relaxed OsRu2Br crystal.

**E_form (uncorrected)**: 1.084 eV/atom
**SG**: I-42d, No. 122
**Energy above the lowest structure with this stoichiometry**: 0.4589 eV per atom
**Crystal system**: tetragonal
**Total magnetic moment**: 0.0 μB/f.u.

```
OsRu2Br
1.0
-2.935 2.935 5.131
2.935 -2.935 5.131
2.935 2.935 -5.131
Os Ru Br
2 4 2
direct
0.000 0.000 0.000
0.750 0.250 0.500
0.101 0.625 0.976
0.375 0.351 0.476
0.649 0.125 0.024
0.875 0.899 0.524
0.250 0.750 0.500
0.500 0.500 0.000
```